No. 1
DFT (PBE-GGA) results for a relaxed structure of NaCd2Re.

Properties
D(E_F): 17.861 states/eV/cell
formation energy: 1.171 eV/atom

abc: 4.4086 4.4086 19.3441
angles: 90.00 90.00 90.00
Closest atoms and distances in Å follow each position.
Space group I-42d (No. 122)
One atom of each set of equivalent atoms:
1 Na 0.0000 0.0000 0.0000  4 Cd 2.93, 4 Re 3.12
2 Cd 0.2215 0.2500 0.6250  2 Re 2.83, 2 Na 2.93, 2 Cd 2.95
3 Re 0.0000 0.0000 0.5000  4 Cd 2.83, 4 Na 3.12


No. 2
DFT (PBE-GGA) results for a relaxed structure of NaCdRe2.

Properties
D(E_F): 24.648 states/eV/cell
formation energy: 1.582 eV/atom

abc: 8.0842 8.0842 4.8741
angles: 90.00 90.00 90.00
Closest atoms and distances in Å follow each position.
Space group I-42d (No. 122)
One atom of each set of equivalent atoms:
1 Na 0.0000 0.0000 0.0000  2 Cd 2.44
2 Cd 0.0000 0.0000 0.5000  2 Na 2.44, 4 Re 2.71
3 Re 0.2099 0.7500 0.6250  2 Re 2.52, 2 Cd 2.71


No. 3
DFT (PBE-GGA) results for a relaxed structure of NaSrCdRe2.

Properties
D(E_F): 2.605 states/eV/cell
formation energy: 2.061 eV/atom

abc: 4.9760 4.9760 4.9739
angles: 90.00 90.00 90.00
Closest atoms and distances in Å follow each position.
Space group P4/mmm (No. 123)
One atom of each set of equivalent atoms:
1 Na 0.0000 0.0000 0.0000  2 Cd 2.49, 4 Re 2.49
2 Sr 0.5000 0.5000 0.5000  8 Re 3.52, 4 Cd 3.52
3 Cd 0.0000 0.0000 0.5000  2 Na 2.49
4 Re 0.0000 0.5000 0.0000  2 Na 2.49


No. 4
DFT (PBE-GGA) results for a relaxed structure of NaCd9Rh2.

Properties
D(E_F): 24.840 states/eV/cell
formation energy: -0.071 eV/atom

abc: 11.7502 11.7502 7.6070
angles: 90.00 90.00 90.00
Closest atoms and distances in Å follow each position.
Space group I4_1/amd (No. 141, origin choice 2)
One atom of each set of equivalent atoms:
1 Na 0.0000 0.2500 0.3750  18 Cd 3.63-3.82
2 Cd 0.0000 0.2500 0.8750  4 Rh 3.09, 8 Cd 3.11
3 Cd 0.1207 0.0491 0.6849  6 Cd 2.84-3.11, 2 Rh 2.84-2.85
4 Rh 0.0000 0.0000 0.0000  10 Cd 2.84-3.09


No. 5
DFT (PBE-GGA) results for a relaxed structure of Na2Cd2Rh.

Properties
D(E_F): 3.819 states/eV/cell
formation energy: -0.059 eV/atom

abc: 3.1512 5.8199 12.7408
angles: 90.00 93.12 90.00
Closest atoms and distances in Å follow each position.
Space group P2_1/m (No. 11)
One atom of each set of equivalent atoms:
1 Na 0.0813 0.2500 0.1997  2 Rh 3.02, 3 Na 3.15-3.37, 2 Cd 3.27
2 Na 0.1846 0.7500 0.5474  5 Na 3.15-3.37, 4 Cd 3.27-3.47
3 Cd 0.4332 0.2500 0.6861  2 Rh 2.74
4 Cd 0.5000 0.0000 0.0000  4 Rh 2.76-2.77, 2 Cd 2.91
5 Rh 0.0284 0.7500 0.1374  6 Cd 2.74-2.77, 2 Na 3.02


No. 6
DFT (PBE-GGA) results for a relaxed structure of Na2Cd2Rh.

Properties
D(E_F): 5.743 states/eV/cell
formation energy: 0.477 eV/atom

abc: 3.9116 3.9116 16.2509
angles: 90.00 90.00 90.00
Closest atoms and distances in Å follow each position.
Space group I4/mmm (No. 139)
One atom of each set of equivalent atoms:
1 Na 0.0000 0.0000 0.0865  1 Na 2.81, 4 Rh 3.10
2 Cd 0.0000 0.5000 0.2500  4 Cd 2.77
3 Rh 0.0000 0.0000 0.5000  8 Na 3.10


No. 7
DFT (PBE-GGA) results for a relaxed structure of Na2Cd2Rh.

Properties
D(E_F): 5.749 states/eV/cell
formation energy: 0.087 eV/atom

abc: 6.9839 6.9839 5.0100
angles: 90.00 90.00 90.00
Closest atoms and distances in Å follow each position.
Space group P4/mbm (No. 127)
One atom of each set of equivalent atoms:
1 Na 0.1801 0.3199 0.0000  2 Cd 3.03
2 Cd 0.1482 0.6482 0.5000  2 Rh 2.67, 1 Cd 2.93
3 Rh 0.0000 0.0000 0.5000  4 Cd 2.67


No. 8
DFT (PBE-GGA) results for a relaxed structure of Na5Cd12Rh2.

Properties
D(E_F): 19.241 states/eV/cell
formation energy: -0.061 eV/atom

abc: 13.9530 9.3218 6.8996
angles: 90.00 90.51 90.00
Closest atoms and distances in Å follow each position.
Space group C2/m (No. 12)
One atom of each set of equivalent atoms:
1 Na 0.0000 0.0000 0.0000  10 Cd 3.25-3.47
2 Na 0.1801 0.5000 0.5154  7 Cd 3.10-3.27, 2 Rh 3.31, 1 Na 3.46
3 Na 0.2331 0.5000 0.0259  9 Cd 3.16-3.46, 1 Na 3.46
4 Cd 0.0062 0.5000 0.2251  2 Rh 2.87, 3 Cd 3.07-3.11, 2 Na 3.13-3.17
5 Cd 0.1000 0.0000 0.5421  5 Cd 2.85-3.01, 2 Rh 2.89, 1 Na 3.10
6 Cd 0.1325 0.2452 0.8013  1 Rh 2.78, 3 Cd 2.93-3.07
7 Cd 0.1434 0.2209 0.2362  1 Rh 2.75, 2 Cd 3.01
8 Rh 0.0000 0.2693 0.5000  8 Cd 2.75-2.89